<i>
The following is a PBE calculation of an optimized crystal structure of LiNiOs2, from the Alexandria database.

a b c (Å): 4.176 4.176 4.176
angles (deg): 60.00 60.00 60.00
Positions (direct):
Li 0.500 0.500 0.500
Os 0.000 0.000 0.000
Os 0.750 0.750 0.750
Ni 0.250 0.250 0.250

Output
The space group is F-43m, No. 216. The value obtained for the density of states at the Fermi level is 1.25 states/eV/atom.

***

<ii>
The following is a PBE calculation of an optimized crystal structure of LiNiOs2, from the Alexandria database.

a b c (Å): 4.055 2.622 5.027
angles (deg): 74.83 90.00 90.00
Positions (direct):
Os 0.500 0.336 0.237
Os 0.000 0.958 0.021
Ni 0.500 0.654 0.714
Li 0.000 0.552 0.528

Output
The space group is Pm, No. 6. The value obtained for the density of states at the Fermi level is 0.67 states/eV/atom.

***

Which structure is the least stable? The one labeled <i>.